1.
A plane-wave DFT calculation with PBE-GGA was carried out for a relaxed structure of Cd2Ag2Cl.

Properties
crystal system = tetragonal
raw formation energy = 0.014 eV/atom
energy above the most stable polymorph in this dataset = 111.4 meV per atom
space-group type = No. 139

a = 4.1270 Å, b = 4.1270 Å, c = 7.4753 Å
α = 73.98°, β = 73.98°, γ = 90.00°
With the nearest neighbours (Å) after each atom.
Fractional coordinates of all 5 atoms:
Cd 0.2500 0.7500 0.5000  4 Ag 2.90, 4 Cd 2.92
Cd 0.7500 0.2500 0.5000  4 Ag 2.90, 4 Cd 2.92
Ag 0.6023 0.6023 0.7954  1 Ag 2.82, 4 Cd 2.90
Ag 0.3977 0.3977 0.2046  1 Ag 2.82, 4 Cd 2.90
Cl 0.0000 0.0000 0.0000  8 Ag 3.24

***

2.
A plane-wave DFT calculation with PBE-GGA was carried out for a relaxed structure of InAsNF2.

Properties
crystal system = tetragonal
raw formation energy = -0.583 eV/atom
energy above the most stable polymorph in this dataset = 0.0 meV per atom
space-group type = No. 123

a = 4.5299 Å, b = 4.5299 Å, c = 3.7144 Å
α = 90.00°, β = 90.00°, γ = 90.00°
With the nearest neighbours (Å) after each atom.
Fractional coordinates of all 5 atoms:
F 0.5000 0.0000 0.0000  2 As 2.26
F 0.0000 0.5000 0.0000  2 As 2.26
In 0.5000 0.5000 0.5000  8 F 2.93, 4 N 3.20
As 0.0000 0.0000 0.0000  2 N 1.86
N 0.0000 0.0000 0.5000  2 As 1.86

***

3.
A plane-wave DFT calculation with PBE-GGA was carried out for a relaxed structure of Rb2MgScCl6.

Properties
crystal system = trigonal
raw formation energy = -1.869 eV/atom
space-group type = No. 166

a = 7.2728 Å, b = 7.2482 Å, c = 7.2727 Å
α = 60.11°, β = 59.78°, γ = 90.01°
With the nearest neighbours (Å) after each atom.
Fractional coordinates of all 10 atoms:
Cl 0.2544 0.7456 0.0005  1 Mg 2.52, 1 Sc 2.61
Cl 0.7456 0.7461 0.9995  1 Mg 2.52, 1 Sc 2.61
Cl 0.7456 0.2544 0.9995  1 Mg 2.52, 1 Sc 2.61
Cl 0.2539 0.2544 0.4913  1 Mg 2.52, 1 Sc 2.61
Cl 0.7461 0.7456 0.5087  1 Mg 2.52, 1 Sc 2.61
Cl 0.2544 0.2539 0.0005  1 Mg 2.52, 1 Sc 2.61
Rb 0.7492 0.2509 0.4982  12 Cl 3.62-3.65
Rb 0.2508 0.7491 0.5018  12 Cl 3.62-3.65
Mg 0.5000 0.5000 0.0000  6 Cl 2.52
Sc 0.0000 0.0000 0.0000  6 Cl 2.61

***

4.
A plane-wave DFT calculation with PBE-GGA was carried out for a relaxed structure of CrRe4Sb.

Properties
crystal system = cubic
raw formation energy = 0.671 eV/atom
space-group type = No. 216

a = 5.2445 Å, b = 5.2445 Å, c = 5.2445 Å
α = 60.00°, β = 60.00°, γ = 60.00°
With the nearest neighbours (Å) after each atom.
Fractional coordinates of all 6 atoms:
Cr 0.0000 0.0000 0.0000  12 Re 3.07, 4 Sb 3.21
Re 0.8773 0.3742 0.3742  6 Re 2.61-2.64
Re 0.3742 0.3742 0.8773  6 Re 2.61-2.64
Re 0.3742 0.8773 0.3742  6 Re 2.61-2.64
Re 0.3742 0.3742 0.3742  6 Re 2.61-2.64
Sb 0.7500 0.7500 0.7500  12 Re 3.08, 4 Cr 3.21

***

5.
A plane-wave DFT calculation with PBE-GGA was carried out for a relaxed structure of ThTlInPb.

Properties
crystal system = orthorhombic
ΔH_f (0 K) = -0.234 eV per atom
space-group type = No. 47

a = 4.7578 Å, b = 4.9284 Å, c = 4.7995 Å
α = 90.00°, β = 90.00°, γ = 90.00°
With the nearest neighbours (Å) after each atom.
Fractional coordinates of all 4 atoms:
Tl 0.0000 0.5000 0.5000  4 In 3.38, 4 Th 3.43, 4 Pb 3.44
In 0.5000 0.5000 0.0000  4 Tl 3.38, 4 Pb 3.43, 4 Th 3.44
Pb 0.0000 0.0000 0.0000  4 Th 3.38, 4 In 3.43, 4 Tl 3.44
Th 0.5000 0.0000 0.5000  4 Pb 3.38, 4 Tl 3.43, 4 In 3.44

***

6.
A plane-wave DFT calculation with PBE-GGA was carried out for a relaxed structure of Pu2Zr3NpN6.

Properties
crystal system = monoclinic
raw formation energy = -1.495 eV/atom
space-group type = No. 12

a = 5.8033 Å, b = 5.8033 Å, c = 5.8485 Å
α = 99.49°, β = 99.49°, γ = 120.02°
With the nearest neighbours (Å) after each atom.
Fractional coordinates of all 12 atoms:
Np 0.0000 0.0000 0.0000  6 N 2.40
Zr 0.1677 0.8323 0.5000  6 N 2.32-2.35
Zr 0.8323 0.1677 0.5000  6 N 2.32-2.35
Zr 0.5000 0.5000 0.5000  6 N 2.32-2.36
N 0.4168 0.0878 0.2632  3 Zr 2.32-2.35, 1 Np 2.40, 2 Pu 2.43
N 0.7590 0.7590 0.2628  3 Zr 2.33-2.36, 1 Np 2.40, 2 Pu 2.43
N 0.9122 0.5832 0.7368  3 Zr 2.32-2.35, 1 Np 2.40, 2 Pu 2.43
N 0.2410 0.2410 0.7372  3 Zr 2.33-2.36, 1 Np 2.40, 2 Pu 2.43
N 0.0878 0.4168 0.2632  3 Zr 2.32-2.35, 1 Np 2.40, 2 Pu 2.43
N 0.5832 0.9122 0.7368  3 Zr 2.32-2.35, 1 Np 2.40, 2 Pu 2.43
Pu 0.6666 0.3334 0.0000  6 N 2.43
Pu 0.3334 0.6666 0.0000  6 N 2.43